Computed, not measured: Li2LaHg after structural relaxation at the GGA-PBEsol level of DFT.

The calculation puts the magnetization at 0.00 μB/cell. The calculation puts the formation enthalpy at 0 K at -0.228 eV per atom. The volume is 188.8 Å³ per cell. The total DFT energy (no corrections) comes out at -2.6898 eV/atom.

The space group is Cm (No. 8) and the conventional cell measures 8.2475, 4.7812 and 5.5258 Å, with angles of 90.00, 119.97 and 90.00 degrees. Symmetry generates all atoms from Li at (0.0000, 0.0000, 0.0000), Li at (0.2184, 0.5000, 0.1546), La at (0.0054, 0.5000, 0.5166) and Hg at (0.2880, 0.0000, 0.8637).